# 1
A relaxed K2BaHg crystal. Source: Alexandria via LeMat-Bulk, functional PBE-GGA.

Computed properties:
Theoretical density: 3.56 g/cm3
E_tot: -1.16 eV per atom
Calculated formation energy: -0.06 eV/atom
M_tot: 0.0768 μB per atom

Cell: 5.2896 5.3167 6.8997 Å, 90.00 90.00 90.00°
Last column: nearest neighbours and their distance in Å.
Sites, in units of the cell vectors:
K  0.0000  0.0000  0.0000  4 K 3.75
K  0.5000  0.5000  0.0000  4 K 3.75
Ba  0.0000  0.5000  0.5000  4 Hg 3.75
Hg  0.5000  0.0000  0.5000  4 Ba 3.75

---

# 2
A relaxed KBaHg6 crystal. Source: Alexandria via LeMat-Bulk, functional PBE-GGA.

Computed properties:
Theoretical density: 9.33 g/cm3
E_tot: -0.92 eV per atom
ΔE to the lowest computed polymorph: 10 meV/atom
Calculated formation energy: -0.32 eV/atom
M_tot: 0.0000 μB per atom

Cell: 5.4934 7.1922 6.2179 Å, 90.00 90.00 90.00°
Last column: nearest neighbours and their distance in Å.
Sites, in units of the cell vectors:
K  0.0000  0.0000  0.0000  12 Hg 3.48-3.64
Ba  0.5000  0.5000  0.7189  12 Hg 3.53-3.67
Hg  0.0000  0.2375  0.5121  6 Hg 3.24-3.42, 2 K 3.48-3.61, 2 Ba 3.57
Hg  0.0000  0.5000  0.0885  6 Hg 3.24-3.37, 2 Ba 3.58
Hg  0.0000  0.7625  0.5121  6 Hg 3.24-3.42, 2 K 3.48-3.61, 2 Ba 3.57
Hg  0.5000  0.0000  0.6401  6 Hg 3.23-3.33, 2 K 3.54
Hg  0.5000  0.2471  0.2064  6 Hg 3.23-3.55, 2 K 3.51, 1 Ba 3.53
Hg  0.5000  0.7529  0.2064  6 Hg 3.23-3.55, 2 K 3.51, 1 Ba 3.53

---

# 3
A relaxed KBaHg3 crystal. Source: Alexandria via LeMat-Bulk, functional PBE-GGA.

Computed properties:
Theoretical density: 7.22 g/cm3
E_tot: -1.17 eV per atom
ΔE to the lowest computed polymorph: 0 meV/atom
Calculated formation energy: -0.38 eV/atom
M_tot: 0.0000 μB per atom

Cell: 15.9004 15.9004 5.1634 Å, 90.00 90.00 164.08°
Last column: nearest neighbours and their distance in Å.
Sites, in units of the cell vectors:
K  0.2086  0.7914  0.7500  7 Hg 3.55-3.78
K  0.7914  0.2086  0.2500  7 Hg 3.55-3.78
Ba  0.0709  0.9291  0.2500  12 Hg 3.70-3.86
Ba  0.9291  0.0709  0.7500  12 Hg 3.70-3.86
Hg  0.3286  0.6714  0.7500  2 Hg 3.04
Hg  0.3797  0.6203  0.2500  3 Hg 3.04
Hg  0.4762  0.5238  0.2500  3 Hg 2.99-3.04
Hg  0.5238  0.4762  0.7500  3 Hg 2.99-3.04
Hg  0.6203  0.3797  0.7500  3 Hg 3.04
Hg  0.6714  0.3286  0.2500  2 Hg 3.04

---

# 4
A relaxed K2BaHg crystal. Source: Alexandria via LeMat-Bulk, functional PBE-GGA.

Computed properties:
Theoretical density: 3.20 g/cm3
E_tot: -1.18 eV per atom
Calculated formation energy: -0.08 eV/atom
M_tot: 0.0000 μB per atom

Cell: 8.1082 8.1082 8.1082 Å, 147.88 129.65 60.98°
Last column: nearest neighbours and their distance in Å.
Sites, in units of the cell vectors:
K  0.0000  0.0000  0.0000  4 Hg 4.12, 4 K 4.35-4.49, 2 Ba 4.37
K  0.6903  0.1903  0.5000  2 Hg 3.57
Ba  0.3084  0.8084  0.5000  2 Hg 3.40
Hg  0.4915  0.4915  0.0000  2 Ba 3.40, 2 K 3.57

---

# 5
A relaxed K2BaHg10 crystal. Source: Alexandria via LeMat-Bulk, functional PBE-GGA.

Computed properties:
Theoretical density: 7.65 g/cm3
E_tot: -0.72 eV per atom
Calculated formation energy: -0.17 eV/atom
M_tot: 0.0000 μB per atom

Cell: 9.5406 15.4837 6.5324 Å, 90.00 90.00 90.00°
Last column: nearest neighbours and their distance in Å.
Sites, in units of the cell vectors:
K  0.0370  0.1368  0.0000  10 Hg 3.60-3.85
K  0.4630  0.6368  0.0000  10 Hg 3.60-3.85
K  0.5370  0.3632  0.0000  10 Hg 3.60-3.85
K  0.9630  0.8632  0.0000  10 Hg 3.60-3.85
Ba  0.0000  0.5000  0.5000  10 Hg 3.57-3.80
Ba  0.5000  0.0000  0.5000  10 Hg 3.57-3.80
Hg  0.0531  0.7434  0.5000  5 Hg 2.94-3.19
Hg  0.1302  0.9441  0.5000  6 Hg 3.01-3.33
Hg  0.1807  0.3344  0.2230  3 Hg 2.91-3.11
Hg  0.1807  0.3344  0.7770  3 Hg 2.91-3.11
Hg  0.1953  0.1341  0.5000  3 Hg 2.94-3.04
Hg  0.3047  0.6341  0.5000  3 Hg 2.94-3.04
Hg  0.3193  0.8344  0.2230  3 Hg 2.91-3.11
Hg  0.3193  0.8344  0.7770  3 Hg 2.91-3.11
Hg  0.3698  0.4441  0.5000  6 Hg 3.01-3.33
Hg  0.4469  0.2434  0.5000  5 Hg 2.94-3.19
Hg  0.5531  0.7566  0.5000  5 Hg 2.94-3.19
Hg  0.6302  0.5559  0.5000  6 Hg 3.01-3.33
Hg  0.6807  0.1656  0.2230  3 Hg 2.91-3.11
Hg  0.6807  0.1656  0.7770  3 Hg 2.91-3.11
Hg  0.6953  0.3659  0.5000  3 Hg 2.94-3.04
Hg  0.8047  0.8659  0.5000  3 Hg 2.94-3.04
Hg  0.8193  0.6656  0.2230  3 Hg 2.91-3.11
Hg  0.8193  0.6656  0.7770  3 Hg 2.91-3.11
Hg  0.8698  0.0559  0.5000  6 Hg 3.01-3.33
Hg  0.9469  0.2566  0.5000  5 Hg 2.94-3.19

---

# 6
A relaxed KBaHg2 crystal. Source: Alexandria via LeMat-Bulk, functional PBE-GGA.

Computed properties:
Theoretical density: 5.68 g/cm3
E_tot: -1.08 eV per atom
Calculated formation energy: -0.18 eV/atom
M_tot: 0.0000 μB per atom

Cell: 7.6341 7.6341 7.6341 Å, 105.71 105.71 117.29°
Last column: nearest neighbours and their distance in Å.
Sites, in units of the cell vectors:
K  0.0000  0.0000  0.0000  4 Hg 3.38
K  0.7500  0.2500  0.5000  4 Hg 3.38
Ba  0.2500  0.7500  0.5000  4 Hg 3.44
Ba  0.5000  0.5000  0.0000  4 Hg 3.44
Hg  0.1200  0.6250  0.9950  2 K 3.38, 2 Ba 3.44
Hg  0.3750  0.3700  0.4950  2 K 3.38, 2 Ba 3.44
Hg  0.6300  0.1250  0.0050  2 K 3.38, 2 Ba 3.44
Hg  0.8750  0.8800  0.5050  2 K 3.38, 2 Ba 3.44